VASP calculation (PBE-GGA) on K4Pu3NiS8 after structural relaxation.

Results
**Space group**: C2/m, No. 12
**Formation energy without anion corrections**: -1.2874 eV per atom
**V**: 25.63 Å³ per atom

```
16
Lattice="7.123 -3.916 0.000 7.123 3.916 0.000 -4.466 0.000 7.351" Properties=species:S:1:pos:R:3 pbc="T T T"
K 0.000 0.000 0.000
K 3.562 1.958 0.000
K 3.562 -1.958 0.000
K 7.123 0.000 0.000
Pu -2.233 0.000 3.675
Pu 1.329 1.958 3.675
Pu 1.329 -1.958 3.675
Ni 4.890 0.000 3.675
S 0.125 0.000 5.161
S 2.149 0.000 2.041
S 3.825 1.702 4.937
S 5.956 1.702 2.414
S 3.825 -1.702 4.937
S 5.956 -1.702 2.414
S 7.632 0.000 5.310
S 9.656 0.000 2.189
```

VASP calculation (PBE-GGA) on KPu2NiS4 after structural relaxation.

Results
**Space group**: Cmcm, No. 63
**Formation energy without anion corrections**: -1.4311 eV per atom
**V**: 22.69 Å³ per atom

```
16
Lattice="1.971 -6.820 0.000 1.971 6.820 0.000 0.000 0.000 13.506" Properties=species:S:1:pos:R:3 pbc="T T T"
K 1.971 5.417 10.130
K 1.971 -5.417 3.377
Pu 1.971 1.832 7.561
Pu 1.971 1.832 12.698
Pu 1.971 -1.832 0.808
Pu 1.971 -1.832 5.945
Ni 1.971 4.530 3.377
Ni 1.971 -4.530 10.130
S 0.000 0.000 0.000
S 0.000 0.000 6.753
S 1.971 3.260 1.517
S 1.971 3.260 5.236
S 1.971 1.089 10.130
S 1.971 -1.089 3.377
S 1.971 -3.260 8.270
S 1.971 -3.260 11.989
```

VASP calculation (PBE-GGA) on K4Pu3NiSe8 after structural relaxation.

Results
**Space group**: R-3m, No. 166
**Formation energy without anion corrections**: -1.1901 eV per atom
**V**: 28.75 Å³ per atom

```
16
Lattice="4.172 2.408 7.631 -4.172 2.408 7.631 0.000 -4.817 7.631" Properties=species:S:1:pos:R:3 pbc="T T T"
K 0.000 0.000 0.000
K -2.086 -1.204 7.631
K -2.086 1.204 15.262
K 0.000 2.408 7.631
Pu -4.172 0.000 11.447
Pu -2.086 1.204 3.816
Pu 2.086 1.204 3.816
Ni 0.000 0.000 11.447
Se 0.000 0.000 5.396
Se -1.996 -1.152 12.929
Se 0.000 -2.304 9.964
Se -1.996 1.152 9.964
Se 1.996 -1.152 12.929
Se 0.000 2.304 12.929
Se 1.996 1.152 9.964
Se 0.000 0.000 17.497
```

VASP calculation (PBE-GGA) on K2RbNi after structural relaxation.

Results
**Space group**: I-42d, No. 122
**Polymorph energy (0 for the lowest one)**: 0.045 eV/atom
**V**: 68.14 Å³ per atom

```
8
Lattice="-4.550 4.550 6.584 4.550 -4.550 6.584 4.550 4.550 -6.584" Properties=species:S:1:pos:R:3 pbc="T T T"
K 0.583 2.275 1.646
K -2.275 3.967 4.938
K -0.583 6.824 1.646
K 2.275 5.132 4.938
Rb 4.550 0.000 3.292
Rb 0.000 0.000 6.584
Ni 0.000 0.000 0.000
Ni 0.000 4.550 3.292
```

- Number 4 is which compound?
  K2RbNi

- V of number 1 (K4Pu3NiS8)?
  25.63 Å³ per atom